Record 1
DFT (SCAN) results for a PBEsol-optimized structure of MoPd2S2.

Cell lengths 6.9563, 6.9563, 6.9563 Å; angles 151.36, 151.36, 40.95 degrees
Closest atoms and distances in Å follow each position.
Fractional positions:
Mo (0.0000, 0.0000, 0.0000)  8 S 2.78
Pd (0.2500, 0.7500, 0.5000)  4 Pd 2.43, 4 S 2.58
Pd (0.7500, 0.2500, 0.5000)  4 Pd 2.43, 4 S 2.58
S (0.3972, 0.3972, 0.0000)  4 Pd 2.58, 1 S 2.68, 4 Mo 2.78
S (0.6028, 0.6028, 0.0000)  4 Pd 2.58, 1 S 2.68, 4 Mo 2.78

Space group: No. 139
N(E_F): 3.7 states/eV/f.u.
Energy: -23.53 eV/atom
Formation energy from raw total energies: 0.412 eV per atom

Record 2
DFT (SCAN) results for a PBEsol-optimized structure of Ca2ZrCl.

Cell lengths 6.3360, 6.3360, 6.3360 Å; angles 149.65, 122.16, 66.72 degrees
Closest atoms and distances in Å follow each position.
Fractional positions:
Ca (0.2087, 0.2087, 0.0000)  2 Cl 2.76
Ca (0.7913, 0.7913, 0.0000)  2 Cl 2.76
Zr (0.5000, 0.0000, 0.5000)  2 Zr 3.32, 4 Cl 3.48, 4 Ca 3.50
Cl (0.0000, 0.5000, 0.5000)  4 Ca 2.76

E above lowest polymorph: 0 meV/atom
Space group: No. 71
N(E_F): 3.7 states/eV/f.u.
Energy: -14.74 eV/atom
Formation energy from raw total energies: -0.239 eV per atom

Record 3
DFT (SCAN) results for a PBEsol-optimized structure of MnReSb2.

Cell lengths 5.2366, 5.2366, 5.2366 Å; angles 134.75, 134.75, 65.92 degrees
Closest atoms and distances in Å follow each position.
Fractional positions:
Mn (0.0000, 0.0000, 0.0000)  8 Sb 2.85-2.98, 4 Re 2.98
Re (0.7500, 0.2500, 0.5000)  8 Sb 2.85-2.98, 4 Mn 2.98
Sb (0.2500, 0.7500, 0.5000)  4 Re 2.85, 4 Mn 2.98, 4 Sb 2.98
Sb (0.5000, 0.5000, 0.0000)  4 Mn 2.85, 4 Re 2.98, 4 Sb 2.98

E above lowest polymorph: 272 meV/atom
Space group: No. 119
N(E_F): 2.2 states/eV/f.u.
Energy: -40.38 eV/atom
Formation energy from raw total energies: 0.589 eV per atom

Record 4
DFT (SCAN) results for a PBEsol-optimized structure of PmDy3.

Cell lengths 7.0927, 7.0927, 5.6002 Å; angles 90.00, 90.00, 120.00 degrees
Closest atoms and distances in Å follow each position.
Fractional positions:
Pm (0.3333, 0.6667, 0.2500)  12 Dy 3.47-3.55
Pm (0.6667, 0.3333, 0.7500)  12 Dy 3.47-3.55
Dy (0.1663, 0.3327, 0.7500)  8 Dy 3.47-3.55, 4 Pm 3.47-3.55
Dy (0.1663, 0.8337, 0.7500)  8 Dy 3.47-3.55, 4 Pm 3.47-3.55
Dy (0.3327, 0.1663, 0.2500)  8 Dy 3.47-3.55, 4 Pm 3.47-3.55
Dy (0.6673, 0.8337, 0.7500)  8 Dy 3.47-3.55, 4 Pm 3.47-3.55
Dy (0.8337, 0.1663, 0.2500)  8 Dy 3.47-3.55, 4 Pm 3.47-3.55
Dy (0.8337, 0.6673, 0.2500)  8 Dy 3.47-3.55, 4 Pm 3.47-3.55

Energy of formation: 0.0162 eV/atom
E above lowest polymorph: 0 meV/atom
Space group: No. 194
N(E_F): 6.4 states/eV/f.u.
Energy: -46.83 eV/atom

Record 5
DFT (SCAN) results for a PBEsol-optimized structure of CaCrSeO2.

Cell lengths 3.6986, 3.6986, 8.1304 Å; angles 90.00, 90.00, 90.00 degrees
Closest atoms and distances in Å follow each position.
Fractional positions:
Ca (0.0000, 0.0000, 0.0000)  4 Se 2.62
Cr (0.0000, 0.0000, 0.5000)  4 O 1.85
Se (0.5000, 0.5000, 0.0000)  4 Ca 2.62
O (0.0000, 0.5000, 0.5000)  2 Cr 1.85
O (0.5000, 0.0000, 0.5000)  2 Cr 1.85

Space group: No. 123
N(E_F): 1.7 states/eV/f.u.
Energy: -13.56 eV/atom
Formation energy from raw total energies: -1.439 eV per atom

Record 6
DFT (SCAN) results for a PBEsol-optimized structure of SrTiOsC2.

Cell lengths 4.2062, 4.2062, 4.6844 Å; angles 90.00, 90.00, 90.00 degrees
Closest atoms and distances in Å follow each position.
Fractional positions:
Sr (0.0000, 0.0000, 0.0000)  4 Os 2.97, 8 C 3.15
Ti (0.5000, 0.5000, 0.5000)  4 C 2.10, 2 Os 2.34
Os (0.5000, 0.5000, 0.0000)  2 Ti 2.34
C (0.0000, 0.5000, 0.5000)  2 Ti 2.10
C (0.5000, 0.0000, 0.5000)  2 Ti 2.10

Energy of formation: 1.4230 eV/atom
Space group: No. 123
N(E_F): 2.9 states/eV/f.u.
Energy: -24.65 eV/atom

Record 7
DFT (SCAN) results for a PBEsol-optimized structure of Tl2FeB2.

Cell lengths 9.2606, 9.2606, 9.2606 Å; angles 162.25, 162.25, 25.21 degrees
Closest atoms and distances in Å follow each position.
Fractional positions:
Tl (0.1129, 0.1129, 0.0000)  4 Tl 2.86, 4 B 2.86, 4 Fe 2.87
Tl (0.8871, 0.8871, 0.0000)  4 Tl 2.86, 4 B 2.86, 4 Fe 2.87
Fe (0.5000, 0.5000, 0.0000)  4 Fe 2.86, 8 Tl 2.87
B (0.2500, 0.7500, 0.5000)  4 B 2.02
B (0.7500, 0.2500, 0.5000)  4 B 2.02

Energy of formation: 1.1789 eV/atom
Space group: No. 139
N(E_F): 2.9 states/eV/f.u.
Energy: -34.36 eV/atom

Record 8
DFT (SCAN) results for a PBEsol-optimized structure of Cr2TcMo.

Cell lengths 2.5983, 4.1261, 4.9444 Å; angles 90.00, 100.09, 90.00 degrees
Closest atoms and distances in Å follow each position.
Fractional positions:
Cr (0.2375, 0.0000, 0.2457)  4 Cr 2.52-2.64, 2 Tc 2.55, 2 Mo 2.55
Cr (0.7625, 0.0000, 0.7543)  4 Cr 2.52-2.64, 2 Tc 2.55, 2 Mo 2.55
Tc (0.5000, 0.5000, 0.0000)  4 Cr 2.55, 2 Mo 2.58, 2 Tc 2.60
Mo (0.0000, 0.5000, 0.5000)  4 Cr 2.55, 2 Tc 2.58, 2 Mo 2.60

Energy of formation: 0.0920 eV/atom
E above lowest polymorph: 106 meV/atom
Space group: No. 10
N(E_F): 3.7 states/eV/f.u.
Energy: -26.59 eV/atom

Record 9
DFT (SCAN) results for a PBEsol-optimized structure of SrTaSb.

Cell lengths 6.3545, 6.3545, 6.3545 Å; angles 146.22, 146.22, 48.52 degrees
Closest atoms and distances in Å follow each position.
Fractional positions:
Sr (0.0000, 0.0000, 0.0000)  5 Sb 3.36-3.57, 5 Ta 3.43-3.52, 4 Sr 3.69
Ta (0.2958, 0.2958, 0.0000)  4 Sb 2.79
Sb (0.7098, 0.7098, 0.0000)  4 Ta 2.79

E above lowest polymorph: 0 meV/atom
Space group: No. 107
N(E_F): 3.4 states/eV/f.u.
Energy: -41.88 eV/atom
Formation energy from raw total energies: 0.161 eV per atom

Record 10
DFT (SCAN) results for a PBEsol-optimized structure of SrTc2As.

Cell lengths 5.6291, 5.6291, 5.6291 Å; angles 148.03, 123.82, 66.11 degrees
Closest atoms and distances in Å follow each position.
Fractional positions:
Sr (0.0000, 0.0000, 0.0000)  8 Tc 3.07-3.25, 4 As 3.09-3.35, 2 Sr 3.10
Tc (0.3015, 0.8015, 0.5000)  2 Tc 2.40
Tc (0.4960, 0.4960, 0.0000)  2 Tc 2.40, 2 As 2.60
As (0.7173, 0.2173, 0.5000)  2 Tc 2.60

Energy of formation: 0.4892 eV/atom
Space group: No. 44
N(E_F): 3.6 states/eV/f.u.
Energy: -27.66 eV/atom

Record 11
DFT (SCAN) results for a PBEsol-optimized structure of Fe3CuBi.

Cell lengths 4.3817, 4.3817, 4.3817 Å; angles 90.00, 90.00, 90.00 degrees
Closest atoms and distances in Å follow each position.
Fractional positions:
Fe (0.0000, 0.0000, 0.5000)  2 Cu 2.19
Fe (0.0000, 0.5000, 0.0000)  2 Cu 2.19
Fe (0.5000, 0.0000, 0.0000)  2 Cu 2.19
Cu (0.0000, 0.0000, 0.0000)  6 Fe 2.19
Bi (0.5000, 0.5000, 0.5000)  12 Fe 3.10

Energy of formation: 0.8365 eV/atom
Space group: No. 221
N(E_F): 4.1 states/eV/f.u.
Energy: -28.80 eV/atom

Record 12
DFT (SCAN) results for a PBEsol-optimized structure of CdFeHg2.

Cell lengths 5.0425, 5.0425, 5.0425 Å; angles 130.16, 130.16, 73.16 degrees
Closest atoms and distances in Å follow each position.
Fractional positions:
Cd (0.0000, 0.0000, 0.0000)  8 Hg 2.94, 4 Fe 3.00
Fe (0.5000, 0.5000, 0.0000)  8 Hg 2.94, 4 Cd 3.00
Hg (0.2500, 0.7500, 0.5000)  4 Fe 2.94, 4 Cd 2.94, 4 Hg 3.00
Hg (0.7500, 0.2500, 0.5000)  4 Fe 2.94, 4 Cd 2.94, 4 Hg 3.00

Energy of formation: 0.3238 eV/atom
Space group: No. 139
N(E_F): 2.3 states/eV/f.u.
Energy: -45.90 eV/atom

Record 13
DFT (SCAN) results for a PBEsol-optimized structure of InIrW.

Cell lengths 6.2494, 6.2494, 6.2494 Å; angles 153.28, 153.28, 38.14 degrees
Closest atoms and distances in Å follow each position.
Fractional positions:
In (0.0000, 0.0000, 0.0000)  4 In 2.89, 4 Ir 2.91, 4 W 2.97
Ir (0.6754, 0.6754, 0.0000)  4 W 2.64, 4 Ir 2.89, 4 In 2.91
W (0.3173, 0.3173, 0.0000)  4 Ir 2.64, 4 W 2.89

Energy of formation: 0.0354 eV/atom
Space group: No. 107
N(E_F): 1.6 states/eV/f.u.
Energy: -58.02 eV/atom

Record 14
DFT (SCAN) results for a PBEsol-optimized structure of HfCrSN2.

Cell lengths 3.6577, 3.6577, 4.4990 Å; angles 90.00, 90.00, 90.00 degrees
Closest atoms and distances in Å follow each position.
Fractional positions:
Hf (0.0000, 0.0000, 0.0000)  4 S 2.59
Cr (0.5000, 0.5000, 0.5000)  4 N 1.83
S (0.5000, 0.5000, 0.0000)  2 Cr 2.25
N (0.0000, 0.5000, 0.5000)  2 Cr 1.83
N (0.5000, 0.0000, 0.5000)  2 Cr 1.83

Space group: No. 123
N(E_F): 2.4 states/eV/f.u.
Energy: -22.00 eV/atom
Formation energy from raw total energies: -0.145 eV per atom

Record 15
DFT (SCAN) results for a PBEsol-optimized structure of La2ReSe.

Cell lengths 6.4480, 6.4480, 6.4480 Å; angles 148.54, 136.87, 54.35 degrees
Closest atoms and distances in Å follow each position.
Fractional positions:
La (0.0000, 0.0000, 0.0000)  4 Re 2.96, 2 Se 3.20
La (0.7289, 0.2289, 0.5000)  4 Se 3.10, 2 Re 3.37
Re (0.4777, 0.4777, 0.0000)  2 Se 2.58
Se (0.3121, 0.8121, 0.5000)  2 Re 2.58

Space group: No. 44
N(E_F): 2.7 states/eV/f.u.
Energy: -44.78 eV/atom
Formation energy from raw total energies: -0.433 eV per atom

Record 16
DFT (SCAN) results for a PBEsol-optimized structure of IrBrN2.

Cell lengths 3.9475, 3.9475, 3.9475 Å; angles 60.00, 60.00, 60.00 degrees
Closest atoms and distances in Å follow each position.
Fractional positions:
Ir (0.0000, 0.0000, 0.0000)  8 N 2.42
Br (0.5000, 0.5000, 0.5000)  8 N 2.42
N (0.2500, 0.2500, 0.2500)  4 Br 2.42, 4 Ir 2.42
N (0.7500, 0.7500, 0.7500)  4 Br 2.42, 4 Ir 2.42

E above lowest polymorph: 710 meV/atom
Space group: No. 225
N(E_F): 3.1 states/eV/f.u.
Energy: -24.70 eV/atom
Formation energy from raw total energies: 2.581 eV per atom

Record 17
DFT (SCAN) results for a PBEsol-optimized structure of Gd.

Cell lengths 3.4937, 3.4937, 3.4937 Å; angles 60.00, 60.00, 60.00 degrees
Closest atoms and distances in Å follow each position.
Fractional positions:
Gd (0.0000, 0.0000, 0.0000)  12 Gd 3.49

Energy of formation: 0.0827 eV/atom
E above lowest polymorph: 83 meV/atom
Space group: No. 225
N(E_F): 1.1 states/eV/f.u.
Energy: -58.73 eV/atom

Record 18
DFT (SCAN) results for a PBEsol-optimized structure of Sr3Ir.

Cell lengths 7.9979, 9.8626, 6.8060 Å; angles 90.00, 90.00, 90.00 degrees
Closest atoms and distances in Å follow each position.
Fractional positions:
Sr (0.0446, 0.2500, 0.1448)  2 Ir 2.95-3.02
Sr (0.1660, 0.0687, 0.6638)  2 Ir 3.03-3.17
Sr (0.1660, 0.4313, 0.6638)  2 Ir 3.03-3.17
Sr (0.3340, 0.5687, 0.1638)  2 Ir 3.03-3.17
Sr (0.3340, 0.9313, 0.1638)  2 Ir 3.03-3.17
Sr (0.4554, 0.7500, 0.6448)  2 Ir 2.95-3.02
Sr (0.5446, 0.2500, 0.3552)  2 Ir 2.95-3.02
Sr (0.6660, 0.0687, 0.8362)  2 Ir 3.03-3.17
Sr (0.6660, 0.4313, 0.8362)  2 Ir 3.03-3.17
Sr (0.8340, 0.5687, 0.3362)  2 Ir 3.03-3.17
Sr (0.8340, 0.9313, 0.3362)  2 Ir 3.03-3.17
Sr (0.9554, 0.7500, 0.8552)  2 Ir 2.95-3.02
Ir (0.1228, 0.7500, 0.4569)  6 Sr 2.95-3.17
Ir (0.3772, 0.2500, 0.9569)  6 Sr 2.95-3.17
Ir (0.6228, 0.7500, 0.0431)  6 Sr 2.95-3.17
Ir (0.8772, 0.2500, 0.5431)  6 Sr 2.95-3.17

Energy of formation: -0.1928 eV/atom
Space group: No. 62
N(E_F): 1.9 states/eV/f.u.
Energy: -34.67 eV/atom

Record 19
DFT (SCAN) results for a PBEsol-optimized structure of CoPt5.

Cell lengths 4.7196, 4.7196, 4.4972 Å; angles 90.00, 90.00, 120.00 degrees
Closest atoms and distances in Å follow each position.
Fractional positions:
Co (0.0000, 0.0000, 0.0000)  12 Pt 2.72-2.73
Pt (0.0000, 0.3285, 0.5000)  10 Pt 2.69-2.75, 2 Co 2.73
Pt (0.3285, 0.0000, 0.5000)  10 Pt 2.69-2.75, 2 Co 2.73
Pt (0.3333, 0.6667, 0.0000)  3 Co 2.72, 9 Pt 2.72-2.75
Pt (0.6667, 0.3333, 0.0000)  3 Co 2.72, 9 Pt 2.72-2.75
Pt (0.6715, 0.6715, 0.5000)  10 Pt 2.69-2.75, 2 Co 2.73

Energy of formation: 0.0243 eV/atom
Space group: No. 189
N(E_F): 6.5 states/eV/f.u.
Energy: -61.35 eV/atom

Record 20
DFT (SCAN) results for a PBEsol-optimized structure of RbTe2Pb2.

Cell lengths 6.8211, 6.8211, 6.8211 Å; angles 128.62, 128.62, 75.62 degrees
Closest atoms and distances in Å follow each position.
Fractional positions:
Rb (0.0000, 0.0000, 0.0000)  2 Pb 3.78, 8 Te 4.00
Te (0.2500, 0.7500, 0.5000)  4 Pb 3.15
Te (0.7500, 0.2500, 0.5000)  4 Pb 3.15
Pb (0.3508, 0.3508, 0.0000)  4 Te 3.15, 1 Pb 3.22
Pb (0.6492, 0.6492, 0.0000)  4 Te 3.15, 1 Pb 3.22

Space group: No. 139
N(E_F): 0.9 states/eV/f.u.
Energy: -49.90 eV/atom
Formation energy from raw total energies: -0.536 eV per atom

Number 1: magnetic moment 2.1 μB/cell. Number 2: magnetic moment 1.1 μB/cell. Number 3: magnetic moment 3.6 μB/cell. Number 4: magnetic moment 0.0 μB/cell. Number 5: magnetic moment 2.1 μB/cell. Number 6: magnetic moment 0.5 μB/cell. Number 7: magnetic moment 2.7 μB/cell. Number 8: magnetic moment 0.0 μB/cell. Number 9: magnetic moment 0.0 μB/cell. Number 10: magnetic moment 0.0 μB/cell. Number 11: magnetic moment 9.2 μB/cell. Number 12: magnetic moment 2.9 μB/cell. Number 13: magnetic moment 0.0 μB/cell. Number 14: magnetic moment 0.0 μB/cell. Number 15: magnetic moment 0.0 μB/cell. Number 16: magnetic moment 0.0 μB/cell. Number 17: magnetic moment 8.1 μB/cell. Number 18: magnetic moment 0.1 μB/cell. Number 19: magnetic moment 4.4 μB/cell. Number 20: magnetic moment 0.0 μB/cell.